Density functional theory data (meta-GGA SCAN) for a crystal of Sc2FePb relaxed with PBEsol.

Cell: 8.8189 8.8189 8.8189 Å, 21.38 21.38 21.38°
Last column: nearest neighbours and their distance in Å.
Element x y z (fractional)
1 Sc 0.2332 0.2332 0.2332  3 Fe 2.55
2 Sc 0.7668 0.7668 0.7668  3 Fe 2.55
3 Fe 0.5000 0.5000 0.5000  6 Sc 2.55
4 Pb 0.0000 0.0000 0.0000  6 Sc 3.20, 6 Pb 3.27

Summary:
The value obtained for the formation energy from the elements is -98 meV/atom. For the density of states at the Fermi level, the calculation gives 2.660 states/eV per cell.

=====

Density functional theory data (meta-GGA SCAN) for a crystal of KMnBi3 relaxed with PBEsol.

Cell: 5.3627 5.3627 5.3627 Å, 90.00 90.00 90.00°
Last column: nearest neighbours and their distance in Å.
Element x y z (fractional)
1 K 0.0000 0.0000 0.0000  12 Bi 3.79
2 Mn 0.5000 0.5000 0.5000  6 Bi 2.68
3 Bi 0.0000 0.5000 0.5000  2 Mn 2.68
4 Bi 0.5000 0.0000 0.5000  2 Mn 2.68
5 Bi 0.5000 0.5000 0.0000  2 Mn 2.68

Summary:
The value obtained for the formation energy from the elements is -21 meV/atom. For the density of states at the Fermi level, the calculation gives 2.908 states/eV per cell.

=====

Question: Number 1 is which compound?
Answer: Sc2FePb